1.
A plane-wave DFT calculation with PBE was carried out for a relaxed VCoTeN2 crystal.

Lattice parameters (Å, degrees): 3.712 3.712 5.256 90.00 90.00 90.00
Space group P4/mmm (No. 123)
Symmetry-distinct sites (fractional):
1 V 0.000 0.000 0.000 [1 per cell]
2 Co 0.500 0.500 0.500 [1 per cell]
3 Te 0.500 0.500 0.000 [1 per cell]
4 N 0.000 0.500 0.500 [2 per cell]

Values from the calculation:
Fermi-level density of states: 7.8 states/eV/cell
offset from the most stable computed form: 3.163 eV per formula unit

2.
A plane-wave DFT calculation with PBE was carried out for a relaxed SmCl2F crystal.

Lattice parameters (Å, degrees): 7.000 4.038 7.320 90.00 107.97 90.00
Space group Cm (No. 8)
Symmetry-distinct sites (fractional):
1 Sm 0.000 0.000 0.000 [2 per cell]
2 Cl 0.252 0.000 0.746 [2 per cell]
3 Cl 0.416 0.000 0.254 [2 per cell]
4 F 0.167 0.500 0.000 [2 per cell]

Values from the calculation:
Fermi-level density of states: 0.0 states/eV/cell
total DFT energy (no corrections): -43.653 eV per cell

3.
A plane-wave DFT calculation with PBE was carried out for a relaxed Li3MnSb crystal.

Lattice parameters (Å, degrees): 5.157 5.157 5.157 90.00 90.00 90.00
Space group Pm-3m (No. 221)
Symmetry-distinct sites (fractional):
1 Li 0.000 0.000 0.500 [3 per cell]
2 Mn 0.500 0.500 0.500 [1 per cell]
3 Sb 0.000 0.000 0.000 [1 per cell]

Values from the calculation:
Fermi-level density of states: 1.5 states/eV/cell
total DFT energy (no corrections): -17.650 eV per cell

4.
A plane-wave DFT calculation with PBE was carried out for a relaxed Nb3InW crystal.

Lattice parameters (Å, degrees): 4.915 4.915 4.915 90.00 90.00 90.00
Space group Pm-3m (No. 221)
Symmetry-distinct sites (fractional):
1 Nb 0.000 0.000 0.500 [3 per cell]
2 In 0.000 0.000 0.000 [1 per cell]
3 W 0.500 0.500 0.500 [1 per cell]

Values from the calculation:
Fermi-level density of states: 6.2 states/eV/cell
offset from the most stable computed form: 5.982 eV per formula unit